1.
# SrPm2NbN4 | Alexandria | PBE-GGA | optimized geometry
# M_tot ... 0.000 μB per atom
# Space-group type ... Cmcm (63)
# E_form (uncorrected) ... -1.12 eV per atom
data_SrPm2NbN4
_cell_length_a 3.537
_cell_length_b 6.482
_cell_length_c 12.509
_cell_angle_alpha 90.00
_cell_angle_beta 90.00
_cell_angle_gamma 105.83
_symmetry_space_group_name_H-M 'P 1'
_symmetry_Int_Tables_number 1
loop_
_symmetry_equiv_pos_as_xyz
'x,y,z'
loop_
_atom_site_label
_atom_site_type_symbol
_atom_site_fract_x
_atom_site_fract_y
_atom_site_fract_z
_atom_site_occupancy
Sr1 Sr 0.097 0.195 0.750 1
Pm1 Pm 0.371 0.742 0.535 1
N1 N 0.739 0.478 0.625 1
N2 N 0.261 0.522 0.375 1
Pm2 Pm 0.371 0.742 0.965 1
N3 N 0.739 0.478 0.875 1
N4 N 0.000 0.000 0.000 1
N5 N 0.419 0.839 0.750 1
Sr2 Sr 0.903 0.805 0.250 1
N6 N 0.000 0.000 0.500 1
Pm3 Pm 0.629 0.258 0.465 1
N7 N 0.261 0.522 0.125 1
Pm4 Pm 0.629 0.258 0.035 1
Nb1 Nb 0.169 0.338 0.250 1
Nb2 Nb 0.831 0.662 0.750 1
N8 N 0.581 0.161 0.250 1

2.
# Tb2PmNbN4 | Alexandria | PBE-GGA | optimized geometry
# M_tot ... 0.000 μB per atom
# Space-group type ... Cmcm (63)
# E_form (uncorrected) ... -1.24 eV per atom
data_Tb2PmNbN4
_cell_length_a 3.420
_cell_length_b 6.225
_cell_length_c 12.181
_cell_angle_alpha 90.00
_cell_angle_beta 90.00
_cell_angle_gamma 105.95
_symmetry_space_group_name_H-M 'P 1'
_symmetry_Int_Tables_number 1
loop_
_symmetry_equiv_pos_as_xyz
'x,y,z'
loop_
_atom_site_label
_atom_site_type_symbol
_atom_site_fract_x
_atom_site_fract_y
_atom_site_fract_z
_atom_site_occupancy
Tb1 Tb 0.630 0.260 0.465 1
Tb2 Tb 0.630 0.260 0.035 1
N1 N 0.550 0.101 0.250 1
Tb3 Tb 0.370 0.740 0.535 1
N2 N 0.739 0.478 0.877 1
N3 N 0.000 0.000 0.000 1
N4 N 0.261 0.522 0.123 1
Nb1 Nb 0.159 0.318 0.250 1
N5 N 0.261 0.522 0.377 1
N6 N 0.450 0.899 0.750 1
Nb2 Nb 0.841 0.682 0.750 1
Tb4 Tb 0.370 0.740 0.965 1
N7 N 0.000 0.000 0.500 1
Pm1 Pm 0.898 0.797 0.250 1
Pm2 Pm 0.102 0.203 0.750 1
N8 N 0.739 0.478 0.623 1

3.
# TbPm2NbN4 | Alexandria | PBE-GGA | optimized geometry
# M_tot ... 0.000 μB per atom
# Space-group type ... P2/m (10)
# E_form (uncorrected) ... -1.36 eV per atom
data_TbPm2NbN4
_cell_length_a 3.422
_cell_length_b 5.936
_cell_length_c 5.983
_cell_angle_alpha 108.97
_cell_angle_beta 90.00
_cell_angle_gamma 90.00
_symmetry_space_group_name_H-M 'P 1'
_symmetry_Int_Tables_number 1
loop_
_symmetry_equiv_pos_as_xyz
'x,y,z'
loop_
_atom_site_label
_atom_site_type_symbol
_atom_site_fract_x
_atom_site_fract_y
_atom_site_fract_z
_atom_site_occupancy
Pm1 Pm 0.500 0.000 0.500 1
N1 N 0.500 0.773 0.779 1
N2 N 0.500 0.227 0.221 1
N3 N 0.000 0.763 0.225 1
Tb1 Tb 0.500 0.500 0.000 1
N4 N 0.000 0.237 0.775 1
Pm2 Pm 0.000 0.500 0.500 1
Nb1 Nb 0.000 0.000 0.000 1

4.
# Pm2NbTcN5 | Alexandria | PBE-GGA | optimized geometry
# M_tot ... 0.000 μB per atom
# Space-group type ... Cmc2_1 (36)
# E_form (uncorrected) ... -0.93 eV per atom
data_Pm2NbTcN5
_cell_length_a 3.326
_cell_length_b 6.939
_cell_length_c 10.468
_cell_angle_alpha 90.00
_cell_angle_beta 90.00
_cell_angle_gamma 103.87
_symmetry_space_group_name_H-M 'P 1'
_symmetry_Int_Tables_number 1
loop_
_symmetry_equiv_pos_as_xyz
'x,y,z'
loop_
_atom_site_label
_atom_site_type_symbol
_atom_site_fract_x
_atom_site_fract_y
_atom_site_fract_z
_atom_site_occupancy
N1 N 0.680 0.360 0.878 1
N2 N 0.635 0.269 0.500 1
Pm1 Pm 0.144 0.289 0.296 1
Nb1 Nb 0.779 0.558 0.512 1
N3 N 0.510 0.020 0.285 1
Tc1 Tc 0.476 0.951 0.462 1
N4 N 0.490 0.980 0.785 1
N5 N 0.716 0.432 0.147 1
Pm2 Pm 0.856 0.711 0.796 1
N6 N 0.320 0.640 0.378 1
N7 N 0.365 0.731 0.000 1
N8 N 0.955 0.911 0.545 1
N9 N 0.045 0.089 0.045 1
Tc2 Tc 0.524 0.049 0.962 1
Pm3 Pm 0.889 0.778 0.199 1
N10 N 0.284 0.568 0.647 1
Nb2 Nb 0.221 0.442 0.012 1
Pm4 Pm 0.111 0.222 0.699 1

5.
# PmThNbN3 | Alexandria | PBE-GGA | optimized geometry
# M_tot ... 0.000 μB per atom
# Space-group type ... P2_1/m (11)
# E_form (uncorrected) ... -1.08 eV per atom
data_PmThNbN3
_cell_length_a 3.456
_cell_length_b 7.409
_cell_length_c 8.022
_cell_angle_alpha 89.54
_cell_angle_beta 90.00
_cell_angle_gamma 90.00
_symmetry_space_group_name_H-M 'P 1'
_symmetry_Int_Tables_number 1
loop_
_symmetry_equiv_pos_as_xyz
'x,y,z'
loop_
_atom_site_label
_atom_site_type_symbol
_atom_site_fract_x
_atom_site_fract_y
_atom_site_fract_z
_atom_site_occupancy
Pm1 Pm 0.750 0.869 0.841 1
Pm2 Pm 0.250 0.131 0.159 1
N1 N 0.250 0.834 0.577 1
N2 N 0.250 0.613 0.891 1
N3 N 0.750 0.863 0.159 1
Nb1 Nb 0.250 0.127 0.566 1
N4 N 0.750 0.166 0.423 1
Th1 Th 0.750 0.390 0.828 1
N5 N 0.250 0.137 0.841 1
Th2 Th 0.250 0.610 0.172 1
N6 N 0.750 0.387 0.109 1
Nb2 Nb 0.750 0.873 0.434 1

6.
# Pm3Th3NbN8 | Alexandria | PBE-GGA | optimized geometry
# M_tot ... 0.000 μB per atom
# Space-group type ... R-3m (166)
# E_form (uncorrected) ... -1.38 eV per atom
data_Pm3Th3NbN8
_cell_length_a 7.113
_cell_length_b 7.113
_cell_length_c 7.106
_cell_angle_alpha 120.03
_cell_angle_beta 90.00
_cell_angle_gamma 120.00
_symmetry_space_group_name_H-M 'P 1'
_symmetry_Int_Tables_number 1
loop_
_symmetry_equiv_pos_as_xyz
'x,y,z'
loop_
_atom_site_label
_atom_site_type_symbol
_atom_site_fract_x
_atom_site_fract_y
_atom_site_fract_z
_atom_site_occupancy
Pm1 Pm 0.000 0.500 0.000 1
N1 N 0.782 0.008 0.290 1
N2 N 0.252 0.503 0.255 1
N3 N 0.226 0.008 0.290 1
Th1 Th 0.000 0.500 0.500 1
Th2 Th 0.500 0.000 0.500 1
N4 N 0.218 0.992 0.710 1
Pm2 Pm 0.500 0.500 0.000 1
N5 N 0.748 0.497 0.745 1
Nb1 Nb 0.000 0.000 0.500 1
Pm3 Pm 0.000 0.000 0.000 1
N6 N 0.218 0.436 0.710 1
N7 N 0.774 0.992 0.710 1
Th3 Th 0.500 0.500 0.500 1
N8 N 0.782 0.564 0.290 1